1.
A crystal of SbIr relaxed with PBEsol, computed with meta-GGA SCAN.

Calculated values
**Formation energy without anion corrections**: 1.99 eV per formula unit
**Crystal system**: hexagonal
**SG**: No. 194
**D(E_F)**: 10.00 states/eV/cell

```
SbIr
1.0
-3.909 -2.385 -1.535
4.410 -1.592 -1.159
0.124 -4.345 6.439
Ir Sb
4 4
Cartesian
-1.022 -6.131 4.534
1.689 -3.694 1.439
1.646 -2.191 -0.788
-1.065 -4.628 2.306
0.093 -3.259 4.829
0.031 -1.086 1.610
-1.105 -3.207 0.200
1.730 -5.115 3.545
```

2.
A crystal of Mg2ZnW relaxed with PBEsol, computed with meta-GGA SCAN.

Calculated values
**E_form**: 139 kJ/mol of formula units
**Crystal system**: tetragonal
**SG**: No. 123
**D(E_F)**: 1.20 states/eV/cell

```
Mg2ZnW
1.0
3.960 0.000 0.000
0.000 3.960 0.000
0.000 0.000 4.122
Mg W Zn
2 1 1
Cartesian
0.000 1.980 0.000
1.980 0.000 0.000
1.980 1.980 2.061
0.000 0.000 2.061
```

3.
A crystal of CaLaGaRh2 relaxed with PBEsol, computed with meta-GGA SCAN.

Calculated values
**E_form**: 215 kJ/mol of formula units
**Crystal system**: tetragonal
**SG**: No. 123
**D(E_F)**: 3.35 states/eV/cell

```
CaLaGaRh2
1.0
4.777 0.000 0.000
0.000 4.777 0.000
0.000 0.000 5.051
Ca Rh Ga La
1 2 1 1
Cartesian
0.000 0.000 0.000
0.000 2.389 0.000
2.389 0.000 0.000
0.000 0.000 2.525
2.389 2.389 2.525
```

4.
A crystal of FeCS2Cl relaxed with PBEsol, computed with meta-GGA SCAN.

Calculated values
**Formation energy without anion corrections**: 7.54 eV per formula unit
**Crystal system**: tetragonal
**SG**: No. 123
**D(E_F)**: 4.15 states/eV/cell

```
FeCS2Cl
1.0
4.256 0.000 0.000
0.000 4.256 0.000
0.000 0.000 4.654
C S Fe Cl
1 2 1 1
Cartesian
2.128 2.128 2.327
0.000 2.128 0.000
2.128 0.000 0.000
0.000 0.000 0.000
0.000 0.000 2.327
```

5.
A crystal of Zn2PRu relaxed with PBEsol, computed with meta-GGA SCAN.

Calculated values
**E_form**: 61 kJ/mol of formula units
**Crystal system**: orthorhombic
**SG**: No. 35
**D(E_F)**: 1.78 states/eV/cell

```
Zn2PRu
1.0
2.775 0.003 0.000
-1.281 2.462 0.000
0.000 0.000 8.379
P Ru Zn
1 1 2
Cartesian
0.000 0.000 3.977
0.747 1.232 2.231
0.000 0.000 0.081
0.747 1.232 6.280
```

6.
A crystal of InPSe2 relaxed with PBEsol, computed with meta-GGA SCAN.

Calculated values
**Formation energy without anion corrections**: 0.08 eV per formula unit
**Crystal system**: tetragonal
**SG**: No. 139
**D(E_F)**: 1.30 states/eV/cell
**Energy above the most stable polymorph in this dataset**: 0 meV/atom

```
InPSe2
1.0
-1.533 4.395 1.046
-3.641 -3.077 0.227
3.356 -1.290 3.141
In P Se
1 1 2
Cartesian
-1.821 -1.539 0.114
-0.767 2.198 0.523
-0.909 0.014 2.207
1.678 -0.645 1.570
```

7.
A crystal of Y2ZrCdGa relaxed with PBEsol, computed with meta-GGA SCAN.

Calculated values
**E_form**: 257 kJ/mol of formula units
**Crystal system**: tetragonal
**SG**: No. 123
**D(E_F)**: 5.69 states/eV/cell

```
Y2ZrCdGa
1.0
-1.639 -3.455 3.564
5.021 -0.293 2.026
-1.140 4.058 3.411
Y Ga Zr Cd
2 1 1 1
Cartesian
-0.570 2.029 1.705
2.511 -0.146 1.013
1.121 0.155 4.500
-0.820 -1.728 1.782
0.000 0.000 0.000
```

8.
A crystal of HfBeCo2 relaxed with PBEsol, computed with meta-GGA SCAN.

Calculated values
**E_form**: 110 kJ/mol of formula units
**Crystal system**: tetragonal
**SG**: No. 122
**D(E_F)**: 7.10 states/eV/cell

```
HfBeCo2
1.0
3.703 0.000 0.000
0.000 3.703 0.000
-1.851 -1.851 7.708
Co Hf Be
4 2 2
Cartesian
2.429 0.926 1.927
1.273 2.777 1.927
0.926 0.578 5.781
-0.926 -0.578 5.781
0.000 1.851 3.854
0.000 0.000 0.000
1.851 0.000 3.854
1.851 1.851 0.000
```

9.
A crystal of NiIrSe2 relaxed with PBEsol, computed with meta-GGA SCAN.

Calculated values
**Formation energy without anion corrections**: 0.34 eV per formula unit
**Crystal system**: trigonal
**SG**: No. 166
**D(E_F)**: 1.74 states/eV/cell

```
NiIrSe2
1.0
-0.450 3.506 -0.607
-0.663 1.174 -3.323
-5.975 1.000 -0.389
Ir Ni Se
1 1 2
Cartesian
-3.544 2.840 -2.160
0.000 0.000 0.000
-1.743 1.423 -1.085
-5.345 4.257 -3.235
```

10.
A crystal of LiSiAs2 relaxed with PBEsol, computed with meta-GGA SCAN.

Calculated values
**Formation energy without anion corrections**: 0.56 eV per formula unit
**Crystal system**: tetragonal
**SG**: No. 139
**D(E_F)**: 1.40 states/eV/cell

```
LiSiAs2
1.0
-1.841 1.820 3.268
-1.293 -4.552 -0.853
3.720 0.513 1.810
As Si Li
2 1 1
Cartesian
-1.097 -0.783 2.477
1.683 -1.436 1.748
0.000 0.000 0.000
0.940 1.166 2.539
```

11.
A crystal of BaCd2In relaxed with PBEsol, computed with meta-GGA SCAN.

Calculated values
**E_form**: -133 kJ/mol of formula units
**Crystal system**: trigonal
**SG**: No. 166
**D(E_F)**: 2.59 states/eV/cell

```
BaCd2In
1.0
4.899 0.000 0.000
2.450 4.243 0.000
2.450 1.414 5.800
In Ba Cd
1 1 2
Cartesian
4.899 2.829 2.900
0.000 0.000 0.000
2.450 1.414 2.105
7.349 4.243 3.696
```

12.
A crystal of FeTeRu2 relaxed with PBEsol, computed with meta-GGA SCAN.

Calculated values
**Formation energy without anion corrections**: 1.42 eV per formula unit
**Crystal system**: orthorhombic
**SG**: No. 44
**D(E_F)**: 3.12 states/eV/cell

```
FeTeRu2
1.0
-2.606 0.020 1.666
-0.301 -4.280 -0.419
3.799 1.605 3.053
Fe Ru Te
1 2 1
Cartesian
-0.087 -0.262 2.738
0.063 -0.014 0.099
0.945 -2.385 1.507
2.318 -0.518 3.633
```

13.
A crystal of Be2CuPb relaxed with PBEsol, computed with meta-GGA SCAN.

Calculated values
**E_form**: 173 kJ/mol of formula units
**Crystal system**: tetragonal
**SG**: No. 99
**D(E_F)**: 1.16 states/eV/cell

```
Be2CuPb
1.0
2.945 0.000 0.000
0.000 2.945 0.000
0.000 0.000 6.796
Pb Be Cu
1 2 1
Cartesian
1.472 1.472 5.101
0.000 0.000 0.598
1.472 1.472 1.697
0.000 0.000 2.798
```

14.
A crystal of Al3Ag4 relaxed with PBEsol, computed with meta-GGA SCAN.

Calculated values
**E_form**: -54 kJ/mol of formula units
**Crystal system**: trigonal
**SG**: No. 146
**D(E_F)**: 1.84 states/eV/cell
**Energy above the most stable polymorph in this dataset**: 22 meV/atom

```
Al3Ag4
1.0
4.918 0.003 0.004
-0.881 4.838 0.004
-0.881 -1.057 4.721
Al Ag
3 4
Cartesian
2.427 1.133 4.027
3.184 3.049 1.988
0.678 3.360 3.411
3.099 3.717 4.645
2.478 0.465 1.346
0.012 0.760 2.755
0.745 2.655 0.749
```

15.
A crystal of Re2BPS relaxed with PBEsol, computed with meta-GGA SCAN.

Calculated values
**Formation energy without anion corrections**: 11.70 eV per formula unit
**Crystal system**: tetragonal
**SG**: No. 123
**D(E_F)**: 4.21 states/eV/cell

```
Re2BPS
1.0
4.156 0.000 0.000
0.000 4.335 0.000
0.000 0.000 4.335
Re S B P
2 1 1 1
Cartesian
0.000 0.000 2.168
0.000 2.168 0.000
0.000 0.000 0.000
2.078 2.168 2.168
2.078 0.000 0.000
```

16.
A crystal of YSbBr2 relaxed with PBEsol, computed with meta-GGA SCAN.

Calculated values
**Formation energy without anion corrections**: -2.39 eV per formula unit
**Crystal system**: cubic
**SG**: No. 225
**D(E_F)**: 2.91 states/eV/cell
**Energy above the most stable polymorph in this dataset**: 383 meV/atom

```
YSbBr2
1.0
-1.010 5.028 0.617
-4.445 1.495 2.167
0.002 2.073 4.731
Y Sb Br
1 1 2
Cartesian
-2.726 4.298 3.757
0.000 0.000 0.000
-1.363 2.149 1.879
-4.089 6.448 5.636
```

17.
A crystal of Ba2ScHgGe relaxed with PBEsol, computed with meta-GGA SCAN.

Calculated values
**E_form**: -93 kJ/mol of formula units
**Crystal system**: tetragonal
**SG**: No. 123
**D(E_F)**: 3.26 states/eV/cell

```
Ba2ScHgGe
1.0
-0.574 -0.362 5.065
-5.876 -2.221 -0.824
2.259 -5.917 -0.167
Sc Ge Hg Ba
1 1 1 2
Cartesian
-0.287 -0.181 2.533
0.000 0.000 0.000
-2.095 -4.250 2.037
1.130 -2.958 -0.083
-2.938 -1.110 -0.412
```

18.
A crystal of MoHI3 relaxed with PBEsol, computed with meta-GGA SCAN.

Calculated values
**Crystal system**: cubic
**E_tot**: -29.157 eV per atom
**SG**: No. 221
**D(E_F)**: 3.67 states/eV/cell

```
MoHI3
1.0
-3.200 1.611 -4.201
-1.505 -5.242 -0.863
-4.240 0.645 3.477
I H Mo
3 1 1
Cartesian
-0.752 -2.621 -0.432
-2.120 0.322 1.739
-1.600 0.805 -2.101
-4.473 -1.493 -0.794
0.000 0.000 0.000
```

19.
A crystal of YHf3Cr relaxed with PBEsol, computed with meta-GGA SCAN.

Calculated values
**E_form**: 864 kJ/mol of formula units
**Crystal system**: cubic
**SG**: No. 221
**D(E_F)**: 6.43 states/eV/cell

```
YHf3Cr
1.0
-1.071 -4.775 -1.141
-0.217 -1.120 4.894
-4.905 1.093 0.033
Y Cr Hf
1 1 3
Cartesian
0.000 0.000 0.000
-3.096 -2.402 1.893
-0.108 -0.560 2.447
-2.452 0.546 0.017
-0.536 -2.388 -0.570
```

20.
A crystal of Ti2Be2Al relaxed with PBEsol, computed with meta-GGA SCAN.

Calculated values
**E_form**: -143 kJ/mol of formula units
**Crystal system**: tetragonal
**SG**: No. 127
**D(E_F)**: 3.58 states/eV/cell

```
Ti2Be2Al
1.0
-2.586 -1.358 0.926
2.234 -5.693 -2.113
2.657 -1.108 5.794
Be Al Ti
4 2 4
Cartesian
3.209 -3.169 4.312
3.611 -5.717 1.698
1.682 -3.632 -0.631
1.280 -1.084 1.983
0.000 0.000 0.000
2.445 -3.400 1.840
0.903 -2.439 4.013
2.406 -5.447 3.798
1.402 -5.720 0.594
-0.101 -2.713 0.808
```

21.
A crystal of Mg4CrHg relaxed with PBEsol, computed with meta-GGA SCAN.

Calculated values
**E_form**: 106 kJ/mol of formula units
**Crystal system**: cubic
**SG**: No. 216
**D(E_F)**: 2.26 states/eV/cell

```
Mg4CrHg
1.0
-5.008 2.210 -1.341
-2.272 -1.028 -5.054
-4.526 -3.330 -0.430
Cr Hg Mg
1 1 4
Cartesian
-8.854 -1.611 -5.119
0.000 0.000 0.000
-4.428 -0.806 -2.560
-6.689 -2.470 -2.775
-6.930 0.299 -3.230
-5.563 -1.320 -5.085
```

22.
A crystal of La2Re relaxed with PBEsol, computed with meta-GGA SCAN.

Calculated values
**E_form**: 53 kJ/mol of formula units
**Crystal system**: tetragonal
**SG**: No. 139
**D(E_F)**: 2.99 states/eV/cell
**Energy above the most stable polymorph in this dataset**: 0 meV/atom

```
La2Re
1.0
3.469 0.000 0.000
0.000 3.469 0.000
-1.734 -1.734 7.013
La Re
2 1
Cartesian
1.734 1.734 1.726
0.000 0.000 5.287
0.000 0.000 0.000
```

23.
A crystal of LaInPd2 relaxed with PBEsol, computed with meta-GGA SCAN.

Calculated values
**E_form**: -334 kJ/mol of formula units
**Crystal system**: hexagonal
**SG**: No. 194
**D(E_F)**: 3.82 states/eV/cell

```
LaInPd2
1.0
-2.774 1.887 3.177
-1.680 -1.136 -4.152
-2.100 -8.377 3.141
La In Pd
2 2 4
Cartesian
-3.984 -5.403 3.090
-2.569 -2.222 -0.924
-1.050 -4.188 1.571
0.000 0.000 0.000
-3.260 -4.977 0.110
-2.575 0.219 0.982
-3.979 -7.844 1.185
-3.294 -2.648 2.057
```

24.
A crystal of V2Si4O11 relaxed with PBEsol, computed with meta-GGA SCAN.

Calculated values
**Formation energy without anion corrections**: -48.32 eV per formula unit
**Crystal system**: triclinic
**SG**: No. 2

```
V2Si4O11
1.0
-6.240 2.731 0.978
-0.629 -3.630 -6.154
-0.028 -6.415 5.561
V Si O
4 8 22
Cartesian
-0.969 -4.986 1.142
-4.074 -3.641 1.655
-2.824 -3.673 -1.270
-5.928 -2.328 -0.757
-5.257 -6.438 2.401
-0.806 -7.765 -0.468
-3.543 -6.557 0.012
-1.448 -1.962 2.350
-5.450 -5.352 -1.965
-3.355 -0.757 0.373
-6.092 0.450 0.853
-1.640 -0.876 -2.016
-1.431 -6.370 2.263
-4.278 -7.161 1.308
-4.630 -4.968 2.746
-6.638 -6.188 1.551
-2.376 -7.568 -0.354
-4.437 -6.455 -1.339
-2.985 -5.005 0.327
-2.138 -3.451 2.103
-5.204 -2.167 2.664
-6.808 -5.367 -1.068
-6.192 -3.628 0.820
-0.705 -3.687 -0.435
-0.090 -1.948 1.453
-1.693 -5.148 -2.279
-4.760 -3.864 -1.718
-3.912 -2.309 0.057
-2.460 -0.860 1.724
-4.522 0.253 0.739
-0.260 -1.126 -1.166
-2.268 -2.347 -2.361
-2.620 -0.154 -0.923
-5.467 -0.945 -1.878
```

25.
A crystal of TlMoS3 relaxed with PBEsol, computed with meta-GGA SCAN.

Calculated values
**Formation energy without anion corrections**: 5.98 eV per formula unit
**Crystal system**: cubic
**SG**: No. 221
**D(E_F)**: 4.29 states/eV/cell

```
TlMoS3
1.0
4.948 0.000 0.000
0.000 4.948 0.000
0.000 0.000 4.948
S Tl Mo
3 1 1
Cartesian
0.000 2.474 0.000
0.000 0.000 2.474
2.474 0.000 0.000
0.000 0.000 0.000
2.474 2.474 2.474
```

26.
A crystal of GaMoAs2Se relaxed with PBEsol, computed with meta-GGA SCAN.

Calculated values
**Formation energy without anion corrections**: 5.14 eV per formula unit
**Crystal system**: tetragonal
**SG**: No. 123
**D(E_F)**: 2.66 states/eV/cell

```
GaMoAs2Se
1.0
-1.167 3.047 -3.400
2.081 -2.768 -3.196
-4.204 -2.373 -0.683
Mo Ga As Se
1 1 2 1
Cartesian
-1.645 -1.047 -3.639
0.000 0.000 0.000
1.041 -1.384 -1.598
-0.584 1.524 -1.700
-2.102 -1.186 -0.342
```